# Ir6Os3Ru PBE relaxed
data_Ir6Os3Ru
_cell_length_a 9.965
_cell_length_b 2.729
_cell_length_c 11.004
_cell_angle_alpha 90.00
_cell_angle_beta 101.10
_cell_angle_gamma 90.00
_symmetry_space_group_name_H-M 'P 1'
_symmetry_Int_Tables_number 1
loop_
_symmetry_equiv_pos_as_xyz
'x,y,z'
loop_
_atom_site_label
_atom_site_type_symbol
_atom_site_fract_x
_atom_site_fract_y
_atom_site_fract_z
Ir1 Ir 0.011 0.250 0.308
Ir2 Ir 0.153 0.250 0.873
Ir3 Ir 0.244 0.750 0.306
Ir4 Ir 0.276 0.750 0.712
Ir5 Ir 0.305 0.750 0.072
Ir6 Ir 0.378 0.250 0.521
Ir7 Ir 0.622 0.750 0.479
Ir8 Ir 0.695 0.250 0.928
Ir9 Ir 0.724 0.250 0.288
Ir10 Ir 0.756 0.250 0.694
Ir11 Ir 0.847 0.750 0.127
Ir12 Ir 0.989 0.750 0.692
Os1 Os 0.075 0.250 0.091
Os2 Os 0.117 0.750 0.501
Os3 Os 0.427 0.250 0.905
Os4 Os 0.573 0.750 0.095
Os5 Os 0.883 0.250 0.499
Os6 Os 0.925 0.750 0.909
Ru1 Ru 0.462 0.250 0.271
Ru2 Ru 0.538 0.750 0.729
# - ρ (Mg/m³) = 20.6
# - energy of formation from the pure elements (eV per atom) = 0.148
# - Fermi-level density of states (states/eV per cell) = 19.3
# - total energy (eV for the cell shown) = -189.30
# - symmetry = P2_1/m (11)